{"formula": "Sc2Ag2Pt", "functional": "PBE-GGA", "state": "optimized geometry", "cell": [[7.0951, 0.0000, 0.0000], [0.0000, 7.0951, 0.0000], [0.0000, 0.0000, 4.1190]], "species": ["Sc", "Sc", "Sc", "Sc", "Ag", "Ag", "Ag", "Ag", "Pt", "Pt"], "fractional_positions": [[0.1622, 0.3378, 0.0000], [0.3378, 0.8378, 0.0000], [0.6622, 0.1622, 0.0000], [0.8378, 0.6622, 0.0000], [0.1391, 0.6391, 0.5000], [0.3609, 0.1391, 0.5000], [0.6391, 0.8609, 0.5000], [0.8609, 0.3609, 0.5000], [0.0000, 0.0000, 0.0000], [0.5000, 0.5000, 0.0000]], "m_tot_mub_per_atom": 0.0000, "ef_ev_per_atom": -0.25, "de_polymorph_mev_per_atom": 87}

{"formula": "ThZn7Au12", "functional": "PBE-GGA", "state": "optimized geometry", "cell": [[-4.7979, 4.7979, 4.7979], [4.7979, -4.7979, 4.7979], [4.7979, 4.7979, -4.7979]], "species": ["Th", "Zn", "Zn", "Zn", "Zn", "Zn", "Zn", "Zn", "Au", "Au", "Au", "Au", "Au", "Au", "Au", "Au", "Au", "Au", "Au", "Au"], "fractional_positions": [[0.0000, 0.0000, 0.0000], [0.0000, 0.0000, 0.5000], [0.0000, 0.5000, 0.0000], [0.0000, 0.5000, 0.5000], [0.5000, 0.0000, 0.0000], [0.5000, 0.0000, 0.5000], [0.5000, 0.5000, 0.0000], [0.5000, 0.5000, 0.5000], [0.1245, 0.2824, 0.8421], [0.1579, 0.4404, 0.2824], [0.1579, 0.8755, 0.7176], [0.2824, 0.1579, 0.4404], [0.2824, 0.8421, 0.1245], [0.4404, 0.2824, 0.1579], [0.5596, 0.7176, 0.8421], [0.7176, 0.1579, 0.8755], [0.7176, 0.8421, 0.5596], [0.8421, 0.1245, 0.2824], [0.8421, 0.5596, 0.7176], [0.8755, 0.7176, 0.1579]], "m_tot_mub_per_atom": 0.0000, "ef_ev_per_atom": -0.03}

{"formula": "MgScMn2Cl", "functional": "PBE-GGA", "state": "optimized geometry", "cell": [[5.0662, 0.0000, 0.0000], [0.0000, 5.0662, 0.0000], [0.0000, 0.0000, 4.6600]], "species": ["Mg", "Sc", "Mn", "Mn", "Cl"], "fractional_positions": [[0.0000, 0.0000, 0.0000], [0.5000, 0.5000, 0.5000], [0.0000, 0.5000, 0.0000], [0.5000, 0.0000, 0.0000], [0.0000, 0.0000, 0.5000]], "m_tot_mub_per_atom": 1.3590, "dft_energy_ev_per_cell": -24.102}

{"formula": "KSbCl4", "functional": "PBE-GGA", "state": "optimized geometry", "cell": [[4.7171, -8.2769, 0.0000], [4.7171, 8.2769, 0.0000], [-4.1521, 0.0000, 6.2705]], "species": ["K", "K", "Sb", "Sb", "Cl", "Cl", "Cl", "Cl", "Cl", "Cl", "Cl", "Cl"], "fractional_positions": [[0.1696, 0.8304, 0.7500], [0.8304, 0.1696, 0.2500], [0.4390, 0.5610, 0.7500], [0.5610, 0.4390, 0.2500], [0.1443, 0.4782, 0.7499], [0.2404, 0.3623, 0.3240], [0.3623, 0.2404, 0.8240], [0.4782, 0.1443, 0.2499], [0.5218, 0.8557, 0.7501], [0.6377, 0.7595, 0.1760], [0.7595, 0.6377, 0.6760], [0.8557, 0.5218, 0.2501]], "m_tot_mub_per_atom": 0.0000, "de_polymorph_mev_per_atom": 0}

{"formula": "AlSiTe4", "functional": "PBE-GGA", "state": "optimized geometry", "cell": [[6.1518, 0.0000, 0.0000], [0.0000, 6.1518, 0.0000], [0.0000, 0.0000, 10.5888]], "species": ["Al", "Al", "Si", "Si", "Te", "Te", "Te", "Te", "Te", "Te", "Te", "Te"], "fractional_positions": [[0.0000, 0.0000, 0.0000], [0.0000, 0.0000, 0.5000], [0.0000, 0.5000, 0.2500], [0.5000, 0.0000, 0.7500], [0.2636, 0.2654, 0.3760], [0.2636, 0.7346, 0.1240], [0.2654, 0.2636, 0.8760], [0.2654, 0.7364, 0.6240], [0.7346, 0.2636, 0.6240], [0.7346, 0.7364, 0.8760], [0.7364, 0.2654, 0.1240], [0.7364, 0.7346, 0.3760]], "m_tot_mub_per_atom": 0.0000, "de_polymorph_mev_per_atom": 0}

{"formula": "CaMnP2", "functional": "PBE-GGA", "state": "optimized geometry", "cell": [[4.1568, 0.0000, 0.0000], [0.0000, 1.8270, 5.4859], [0.0000, -1.8270, 5.4859]], "species": ["Ca", "Mn", "P", "P"], "fractional_positions": [[0.0000, 0.0000, 0.0000], [0.5000, 0.7750, 0.7750], [0.0000, 0.7091, 0.7091], [0.5000, 0.3964, 0.3964]], "m_tot_mub_per_atom": 0.5500, "ef_ev_per_atom": -0.46, "de_polymorph_mev_per_atom": 299}

{"formula": "BaNaIO2", "functional": "PBE-GGA", "state": "optimized geometry", "cell": [[4.7972, 0.0000, 0.0000], [0.0000, 4.7972, 0.0000], [0.0000, 0.0000, 5.5776]], "species": ["Ba", "Na", "I", "O", "O"], "fractional_positions": [[0.0000, 0.0000, 0.0000], [0.5000, 0.5000, 0.5000], [0.5000, 0.5000, 0.0000], [0.0000, 0.5000, 0.5000], [0.5000, 0.0000, 0.5000]], "m_tot_mub_per_atom": 0.4000, "de_polymorph_mev_per_atom": 160}

{"formula": "TaMnAl2W", "functional": "PBE-GGA", "state": "optimized geometry", "cell": [[4.8399, 0.0000, 0.0000], [0.0000, 4.8399, 0.0000], [0.0000, 0.0000, 4.8501]], "species": ["Ta", "Mn", "Al", "Al", "W"], "fractional_positions": [[0.0000, 0.0000, 0.0000], [0.5000, 0.5000, 0.0000], [0.0000, 0.5000, 0.5000], [0.5000, 0.0000, 0.5000], [0.0000, 0.0000, 0.5000]], "m_tot_mub_per_atom": 0.7358, "ef_ev_per_atom": 1.16}

{"formula": "Np2U3TiP6", "functional": "PBE-GGA", "state": "optimized geometry", "cell": [[3.3749, -5.7805, 0.0000], [3.3749, 5.7805, 0.0000], [-2.2120, 0.0000, 6.2808]], "species": ["Np", "Np", "U", "U", "U", "Ti", "P", "P", "P", "P", "P", "P"], "fractional_positions": [[0.1642, 0.8358, 0.0000], [0.8358, 0.1642, 0.0000], [0.0000, 0.0000, 0.5000], [0.3284, 0.6716, 0.5000], [0.6716, 0.3284, 0.5000], [0.5000, 0.5000, 0.0000], [0.1020, 0.4218, 0.7613], [0.2653, 0.2653, 0.2474], [0.4218, 0.1020, 0.7613], [0.5782, 0.8980, 0.2387], [0.7347, 0.7347, 0.7526], [0.8980, 0.5782, 0.2387]], "m_tot_mub_per_atom": 0.4901, "ef_ev_per_atom": -0.93}

{"formula": "CdIn2Se4", "functional": "PBE-GGA", "state": "optimized geometry", "cell": [[-2.8714, 2.8714, 5.5559], [2.8714, -2.8714, 5.5559], [2.8714, 2.8714, -5.5559]], "species": ["Cd", "In", "In", "Se", "Se", "Se", "Se"], "fractional_positions": [[0.0000, 0.0000, 0.0000], [0.5000, 0.5000, 0.0000], [0.7500, 0.2500, 0.5000], [0.2583, 0.2583, 0.0000], [0.5101, 0.0101, 0.5000], [0.7417, 0.7417, 0.0000], [0.9899, 0.4899, 0.5000]], "m_tot_mub_per_atom": 0.0000, "de_polymorph_mev_per_atom": 204}

{"formula": "TbMg2Au", "functional": "PBE-GGA", "state": "optimized geometry", "cell": [[4.3014, 0.0000, 0.0000], [0.0000, 4.3014, 0.0000], [0.0000, 0.0000, 4.9247]], "species": ["Tb", "Mg", "Mg", "Au"], "fractional_positions": [[0.0000, 0.0000, 0.0000], [0.0000, 0.5000, 0.5000], [0.5000, 0.0000, 0.5000], [0.5000, 0.5000, 0.0000]], "m_tot_mub_per_atom": 0.0000, "ef_ev_per_atom": -0.37}

{"formula": "La7Cd3Hg2", "functional": "PBE-GGA", "state": "optimized geometry", "cell": [[2.8400, -12.7656, 0.0000], [2.8400, 12.7656, 0.0000], [0.0000, 0.0000, 5.5999]], "species": ["La", "La", "La", "La", "La", "La", "La", "Cd", "Cd", "Cd", "Hg", "Hg"], "fractional_positions": [[0.0000, 0.0000, 0.0000], [0.0925, 0.9075, 0.5000], [0.2828, 0.7172, 0.0000], [0.4194, 0.5806, 0.0000], [0.5806, 0.4194, 0.0000], [0.7172, 0.2828, 0.0000], [0.9075, 0.0925, 0.5000], [0.3447, 0.6553, 0.5000], [0.5000, 0.5000, 0.5000], [0.6553, 0.3447, 0.5000], [0.1541, 0.8459, 0.0000], [0.8459, 0.1541, 0.0000]], "m_tot_mub_per_atom": 0.0009, "ef_ev_per_atom": -0.10}